VASP calculation (PBE) on a geometry-optimized AgBiI2 structure.

## Properties
Crystal system: cubic
E_form (uncorrected) in meV per atom: 266
Space group: No. 225

Cell lengths 5.5674, 5.5674, 5.5674 Å; angles 60.00, 60.00, 60.00 degrees
Fractional coordinates of all 4 atoms:
I  0.7500  0.7500  0.7500
I  0.2500  0.2500  0.2500
Ag  0.0000  0.0000  0.0000
Bi  0.5000  0.5000  0.5000


VASP calculation (PBE) on a geometry-optimized NiOsSe2N structure.

## Properties
Crystal system: tetragonal
E_form (uncorrected) in meV per atom: 1051
Space group: No. 123

Cell lengths 4.8387, 4.8387, 3.2954 Å; angles 90.00, 90.00, 90.00 degrees
Fractional coordinates of all 5 atoms:
Os  0.5000  0.5000  0.5000
Se  0.0000  0.5000  0.0000
Se  0.5000  0.0000  0.0000
N  0.0000  0.0000  0.5000
Ni  0.0000  0.0000  0.0000


VASP calculation (PBE) on a geometry-optimized ScSbRu2 structure.

## Properties
Crystal system: monoclinic
E_form (uncorrected) in meV per atom: -267
Space group: No. 10

Cell lengths 3.1407, 5.1478, 5.4126 Å; angles 51.40, 90.00, 90.00 degrees
Fractional coordinates of all 4 atoms:
Ru  0.5000  0.5000  0.0000
Ru  0.0000  0.0000  0.0000
Sc  0.0000  0.0000  0.5000
Sb  0.5000  0.5000  0.5000


VASP calculation (PBE) on a geometry-optimized HoMnIrRh structure.

## Properties
Crystal system: cubic
Energy relative to the elements in eV/atom: -0.4413
Space group: No. 216

Cell lengths 4.5824, 4.5824, 4.5824 Å; angles 60.00, 60.00, 60.00 degrees
Site moments in Bohr magnetons follow the coordinates.
Fractional coordinates of all 4 atoms:
Ho  0.2500  0.2500  0.2500  -0.10
Mn  0.7500  0.7500  0.7500  3.80
Rh  0.0000  0.0000  0.0000  0.38
Ir  0.5000  0.5000  0.5000  0.33


VASP calculation (PBE) on a geometry-optimized Dy4Mg5Fe2 structure.

## Properties
Crystal system: monoclinic
Energy relative to the elements in eV/atom: -0.0142
Space group: No. 10

Cell lengths 3.6527, 7.8904, 9.4258 Å; angles 95.77, 90.00, 90.00 degrees
Site moments in Bohr magnetons follow the coordinates.
Fractional coordinates of all 11 atoms:
Fe  0.0000  0.0589  0.6177  1.64
Fe  0.0000  0.9411  0.3823  1.64
Mg  0.0000  0.1646  0.1380  0.00
Mg  0.0000  0.5479  0.3301  -0.01
Mg  0.0000  0.4521  0.6699  -0.01
Mg  0.0000  0.8354  0.8620  0.00
Mg  0.0000  0.5000  0.0000  0.00
Dy  0.5000  0.1732  0.8295  -0.14
Dy  0.5000  0.8268  0.1705  -0.14
Dy  0.5000  0.7865  0.5615  -0.27
Dy  0.5000  0.2135  0.4385  -0.27


VASP calculation (PBE) on a geometry-optimized Nd2PuNpP4 structure.

## Properties
Crystal system: monoclinic
Energy relative to the elements in eV/atom: -1.2691
Space group: No. 10

Cell lengths 4.0662, 7.0534, 7.0360 Å; angles 109.46, 90.00, 90.00 degrees
Site moments in Bohr magnetons follow the coordinates.
Fractional coordinates of all 8 atoms:
P  0.5000  0.7533  0.7674  -0.10
P  0.0000  0.7422  0.2325  -0.09
P  0.5000  0.2467  0.2326  -0.10
P  0.0000  0.2578  0.7675  -0.09
Nd  0.0000  0.5000  0.5000  0.03
Nd  0.5000  0.0000  0.5000  0.04
Np  0.5000  0.5000  0.0000  3.50
Pu  0.0000  0.0000  0.0000  4.95


Size of the total moment list, top to bottom, in μB/atom: 0.000; 0.000; 0.000; 1.141; 0.189; 1.076